The following is a DFT calculation (PBE with a Hubbard U) of an optimized crystal structure of BaPrFeSnO6.

Computed properties:
The total energy comes out at -6.82 eV per atom. The total magnetization comes out at 5.00 μB per formula unit.

Structure (POSCAR):
```
BaPrFeSnO6
1.0
0.000 4.070 4.070
4.070 0.000 4.070
4.070 4.070 0.000
Ba Pr Fe Sn O
1 1 1 1 6
direct
0.000 0.000 0.000
0.500 0.500 0.500
0.750 0.750 0.750
0.250 0.250 0.250
0.503 0.503 0.997
0.503 0.997 0.503
0.503 0.997 0.997
0.997 0.503 0.503
0.997 0.503 0.997
0.997 0.997 0.503
```